(1)
# Ba2TbSb3O12 PBE relaxed
# VASP energy = -6.3585 eV/atom
# spin magnetization = 6.1 μB/cell
# ΔE_f (raw) = -34.1 eV per formula unit
data_Ba2TbSb3O12
_chemical_formula_sum 'Ba6 Tb3 Sb9 O36'
_space_group_name_H-M_alt 'R -3 m'
_space_group_IT_number 166
_space_group_name_Hall '-R 3 2"'
_cell_length_a 7.5051
_cell_length_b 7.5051
_cell_length_c 16.9372
_cell_angle_alpha 90.00
_cell_angle_beta 90.00
_cell_angle_gamma 120.00
loop_
_atom_site_label
_atom_site_fract_x
_atom_site_fract_y
_atom_site_fract_z
_atom_site_occupancy
Ba1 0.0000 0.0000 0.1158 1
Tb1 0.0000 0.0000 0.5000 1
Sb1 0.0000 0.5000 0.0000 1
O1 0.0135 0.5067 0.8830 1
O2 0.0667 0.5334 0.3204 1

=====

(2)
# Ba2TbSbO6 PBE relaxed
# VASP energy = -6.9004 eV/atom
# spin magnetization = 0.0 μB/cell
# ΔE_f (raw) = -26.7 eV per formula unit
data_Ba2TbSbO6
_chemical_formula_sum 'Ba6 Tb3 Sb3 O18'
_space_group_name_H-M_alt 'R -3'
_space_group_IT_number 148
_space_group_name_Hall '-R 3'
_cell_length_a 6.0413
_cell_length_b 6.0413
_cell_length_c 14.7826
_cell_angle_alpha 90.00
_cell_angle_beta 90.00
_cell_angle_gamma 120.00
loop_
_atom_site_label
_atom_site_fract_x
_atom_site_fract_y
_atom_site_fract_z
_atom_site_occupancy
Ba1 0.0000 0.0000 0.2502 1
Tb1 0.0000 0.0000 0.0000 1
Sb1 0.0000 0.0000 0.5000 1
O1 0.0187 0.4951 0.2455 1

=====

(3)
# Ba3TbSb2O8 PBE relaxed
# VASP energy = -6.3204 eV/atom
# spin magnetization = 0.5 μB/cell
# ΔE_f (raw) = -30.2 eV per formula unit
data_Ba3TbSb2O8
_chemical_formula_sum 'Ba3 Tb1 Sb2 O8'
_space_group_name_H-M_alt 'P -3 m 1'
_space_group_IT_number 164
_space_group_name_Hall '-P 3 2"'
_cell_length_a 6.1807
_cell_length_b 6.1807
_cell_length_c 8.0822
_cell_angle_alpha 90.00
_cell_angle_beta 90.00
_cell_angle_gamma 120.00
loop_
_atom_site_label
_atom_site_fract_x
_atom_site_fract_y
_atom_site_fract_z
_atom_site_occupancy
Ba1 0.0000 0.0000 0.0000 1
Ba2 0.3333 0.6667 0.6380 1
Tb1 0.0000 0.0000 0.5000 1
Sb1 0.3333 0.6667 0.1971 1
O1 0.1685 0.3370 0.3308 1
O2 0.3333 0.6667 0.9414 1

=====

(4)
# BaTcSbO6 PBE relaxed
# VASP energy = -6.9278 eV/atom
# spin magnetization = 2.0 μB/cell
# ΔE_f (raw) = -16.2 eV per formula unit
data_BaTcSbO6
_chemical_formula_sum 'Ba1 Tc1 Sb1 O6'
_space_group_name_H-M_alt 'P 3 1 2'
_space_group_IT_number 149
_space_group_name_Hall 'P 3 2'
_cell_length_a 5.3819
_cell_length_b 5.3819
_cell_length_c 5.7892
_cell_angle_alpha 90.00
_cell_angle_beta 90.00
_cell_angle_gamma 120.00
loop_
_atom_site_label
_atom_site_fract_x
_atom_site_fract_y
_atom_site_fract_z
_atom_site_occupancy
Ba1 0.0000 0.0000 0.0000 1
Tc1 0.3333 0.6667 0.5000 1
Sb1 0.6667 0.3333 0.5000 1
O1 0.0053 0.3927 0.6941 1

=====

(5)
# Ba2TcSbO6 PBE relaxed
# VASP energy = -6.7672 eV/atom
# spin magnetization = 13.0 μB/cell
# ΔE_f (raw) = -19.6 eV per formula unit
data_Ba2TcSbO6
_chemical_formula_sum 'Ba8 Tc4 Sb4 O24'
_space_group_name_H-M_alt 'F m -3 m'
_space_group_IT_number 225
_space_group_name_Hall '-F 4 2 3'
_cell_length_a 8.366
_cell_length_b 8.366
_cell_length_c 8.366
_cell_angle_alpha 90.00
_cell_angle_beta 90.00
_cell_angle_gamma 90.00
loop_
_atom_site_label
_atom_site_fract_x
_atom_site_fract_y
_atom_site_fract_z
_atom_site_occupancy
Ba1 0.250 0.250 0.250 1
Tc1 0.000 0.000 0.000 1
Sb1 0.000 0.000 0.500 1
O1 0.000 0.000 0.248 1

=====

(6)
# BaTc2SbO8 PBE relaxed
# VASP energy = -7.0146 eV/atom
# spin magnetization = 9.1 μB/cell
# ΔE_f (raw) = -17.7 eV per formula unit
data_BaTc2SbO8
_chemical_formula_sum 'Ba3 Tc6 Sb3 O24'
_space_group_name_H-M_alt 'R 3 2'
_space_group_IT_number 155
_space_group_name_Hall 'R 3 2"'
_cell_length_a 5.3185
_cell_length_b 5.3185
_cell_length_c 24.4049
_cell_angle_alpha 90.00
_cell_angle_beta 90.00
_cell_angle_gamma 120.00
loop_
_atom_site_label
_atom_site_fract_x
_atom_site_fract_y
_atom_site_fract_z
_atom_site_occupancy
Ba1 0.0000 0.0000 0.0000 1
Tc1 0.0000 0.0000 0.2497 1
Sb1 0.0000 0.0000 0.5000 1
O1 0.0000 0.0000 0.3231 1
O2 0.0030 0.3432 0.8935 1

=====

(7)
# BaSbTe2O PBE relaxed
# VASP energy = -2.2760 eV/atom
# spin magnetization = 0.0 μB/cell
# ΔE_f (raw) = 5.9 eV per formula unit
# relative energy among the computed polymorphs = 8.912 eV per formula unit
data_BaSbTe2O
_chemical_formula_sum 'Ba1 Sb1 Te2 O1'
_space_group_name_H-M_alt 'P 4/m m m'
_space_group_IT_number 123
_space_group_name_Hall '-P 4 2'
_cell_length_a 6.448
_cell_length_b 6.448
_cell_length_c 6.638
_cell_angle_alpha 90.00
_cell_angle_beta 90.00
_cell_angle_gamma 90.00
loop_
_atom_site_label
_atom_site_fract_x
_atom_site_fract_y
_atom_site_fract_z
_atom_site_occupancy
Ba1 0.000 0.000 0.000 1
Sb1 0.000 0.000 0.500 1
Te1 0.000 0.500 0.000 1
O1 0.500 0.500 0.500 1

=====

(8)
# BaSbTe2O8 PBE relaxed
# VASP energy = -5.6756 eV/atom
# spin magnetization = 0.0 μB/cell
# ΔE_f (raw) = -16.1 eV per formula unit
data_BaSbTe2O8
_chemical_formula_sum 'Ba2 Sb2 Te4 O16'
_space_group_name_H-M_alt 'C 1 2/m 1'
_space_group_IT_number 12
_space_group_name_Hall '-C 2y'
_cell_length_a 11.899
_cell_length_b 5.520
_cell_length_c 6.202
_cell_angle_alpha 90.00
_cell_angle_beta 109.42
_cell_angle_gamma 90.00
loop_
_atom_site_label
_atom_site_fract_x
_atom_site_fract_y
_atom_site_fract_z
_atom_site_occupancy
Ba1 0.000 0.000 0.000 1
Sb1 0.000 0.500 0.500 1
Te1 0.224 0.000 0.680 1
O1 0.084 0.500 0.270 1
O2 0.107 0.245 0.712 1
O3 0.190 0.000 0.368 1

=====

(9)
# BaSbTeO2 PBE relaxed
# VASP energy = -5.4009 eV/atom
# spin magnetization = 0.0 μB/cell
# ΔE_f (raw) = -7.9 eV per formula unit
data_BaSbTeO2
_chemical_formula_sum 'Ba4 Sb4 Te4 O8'
_space_group_name_H-M_alt 'C m c m'
_space_group_IT_number 63
_space_group_name_Hall '-C 2c 2'
_cell_length_a 5.804
_cell_length_b 16.343
_cell_length_c 5.507
_cell_angle_alpha 90.00
_cell_angle_beta 90.00
_cell_angle_gamma 90.00
loop_
_atom_site_label
_atom_site_fract_x
_atom_site_fract_y
_atom_site_fract_z
_atom_site_occupancy
Ba1 0.000 0.102 0.250 1
Sb1 0.000 0.442 0.250 1
Te1 0.000 0.250 0.750 1
O1 0.221 0.500 0.000 1

=====

(10)
# Ba4SbTeO PBE relaxed
# VASP energy = -4.3995 eV/atom
# spin magnetization = 0.0 μB/cell
# ΔE_f (raw) = -10.9 eV per formula unit
data_Ba4SbTeO
_chemical_formula_sum 'Ba16 Sb4 Te4 O4'
_space_group_name_H-M_alt 'C m c m'
_space_group_IT_number 63
_space_group_name_Hall '-C 2c 2'
_cell_length_a 7.457
_cell_length_b 18.975
_cell_length_c 7.390
_cell_angle_alpha 90.00
_cell_angle_beta 90.00
_cell_angle_gamma 90.00
loop_
_atom_site_label
_atom_site_fract_x
_atom_site_fract_y
_atom_site_fract_z
_atom_site_occupancy
Ba1 0.000 0.066 0.250 1
Ba2 0.000 0.416 0.250 1
Ba3 0.250 0.250 0.000 1
Sb1 0.000 0.114 0.750 1
Te1 0.000 0.388 0.750 1
O1 0.000 0.278 0.250 1

=====

(11)
# BaSbTeO6 PBE relaxed
# VASP energy = -5.9743 eV/atom
# spin magnetization = 0.0 μB/cell
# ΔE_f (raw) = -14.8 eV per formula unit
data_BaSbTeO6
_chemical_formula_sum 'Ba1 Sb1 Te1 O6'
_space_group_name_H-M_alt 'P 3 1 2'
_space_group_IT_number 149
_space_group_name_Hall 'P 3 2'
_cell_length_a 5.5104
_cell_length_b 5.5104
_cell_length_c 5.8217
_cell_angle_alpha 90.00
_cell_angle_beta 90.00
_cell_angle_gamma 120.00
loop_
_atom_site_label
_atom_site_fract_x
_atom_site_fract_y
_atom_site_fract_z
_atom_site_occupancy
Ba1 0.0000 0.0000 0.0000 1
Sb1 0.3333 0.6667 0.5000 1
Te1 0.6667 0.3333 0.5000 1
O1 0.0061 0.3915 0.6972 1

=====

(12)
# BaSbTe2O PBE relaxed
# VASP energy = -4.0584 eV/atom
# spin magnetization = 0.0 μB/cell
# ΔE_f (raw) = -3.0 eV per formula unit
# relative energy among the computed polymorphs = 0.000 eV per formula unit
data_BaSbTe2O
_chemical_formula_sum 'Ba1 Sb1 Te2 O1'
_space_group_name_H-M_alt 'P 4/m m m'
_space_group_IT_number 123
_space_group_name_Hall '-P 4 2'
_cell_length_a 5.307
_cell_length_b 5.307
_cell_length_c 4.731
_cell_angle_alpha 90.00
_cell_angle_beta 90.00
_cell_angle_gamma 90.00
loop_
_atom_site_label
_atom_site_fract_x
_atom_site_fract_y
_atom_site_fract_z
_atom_site_occupancy
Ba1 0.000 0.000 0.000 1
Sb1 0.500 0.500 0.000 1
Te1 0.000 0.500 0.500 1
O1 0.500 0.500 0.500 1